Record 1
The following is a DFT calculation (PBE) of BeCrCu2 after structural relaxation.

Cell: 8.924 8.924 8.924 Å, 158.12 158.12 31.13°
Sites, in units of the cell vectors:
Be (0.000, 0.000, 0.000)
Be (0.750, 0.250, 0.500)
Cr (0.250, 0.750, 0.500)
Cr (0.500, 0.500, 0.000)
Cu (0.111, 0.625, 0.986)
Cu (0.375, 0.361, 0.486)
Cu (0.639, 0.125, 0.014)
Cu (0.875, 0.889, 0.514)

Results
Calculated density, g/cm³: 6.34
N(E_F), states/eV/f.u.: 2.47
E_tot, eV/atom: -4.855

---

Record 2
The following is a DFT calculation (PBE) of BeCrCu2 after structural relaxation.

Cell: 4.631 4.631 4.383 Å, 108.94 108.94 30.32°
Sites, in units of the cell vectors:
Be (0.000, 0.000, 0.000)
Cr (0.748, 0.748, 0.150)
Cu (0.289, 0.289, 0.678)
Cu (0.525, 0.525, 0.496)

Results
Calculated density, g/cm³: 6.99
N(E_F), states/eV/f.u.: 2.14
E_tot, eV/atom: -5.157

---

Record 3
The following is a DFT calculation (PBE) of Be17CrCu after structural relaxation.

Cell: 5.490 5.490 5.490 Å, 81.82 81.82 81.82°
Sites, in units of the cell vectors:
Be (0.056, 0.056, 0.056)
Be (0.146, 0.146, 0.662)
Be (0.146, 0.662, 0.146)
Be (0.160, 0.467, 0.845)
Be (0.160, 0.845, 0.467)
Be (0.258, 0.258, 0.258)
Be (0.320, 0.816, 0.816)
Be (0.467, 0.160, 0.845)
Be (0.467, 0.845, 0.160)
Be (0.505, 0.505, 0.991)
Be (0.505, 0.991, 0.505)
Be (0.662, 0.146, 0.146)
Be (0.816, 0.320, 0.816)
Be (0.816, 0.816, 0.320)
Be (0.845, 0.160, 0.467)
Be (0.845, 0.467, 0.160)
Be (0.991, 0.505, 0.505)
Cr (0.829, 0.829, 0.829)
Cu (0.537, 0.537, 0.537)

Results
Calculated density, g/cm³: 2.77
N(E_F), states/eV/f.u.: 2.64
E_tot, eV/atom: -4.085

---

Record 4
The following is a DFT calculation (PBE) of BeCrCu2 after structural relaxation.

Cell: 2.502 2.502 6.861 Å, 90.00 90.00 90.00°
Sites, in units of the cell vectors:
Be (0.000, 0.000, 0.000)
Cr (0.000, 0.000, 0.500)
Cu (0.500, 0.500, 0.218)
Cu (0.500, 0.500, 0.782)

Results
Calculated density, g/cm³: 7.27
N(E_F), states/eV/f.u.: 2.69
E_tot, eV/atom: -5.271

---

Record 5
The following is a DFT calculation (PBE) of BeCr3Cu after structural relaxation.

Cell: 4.591 4.591 4.591 Å, 90.00 90.00 90.00°
Sites, in units of the cell vectors:
Be (0.000, 0.000, 0.000)
Cr (0.000, 0.500, 0.500)
Cr (0.500, 0.000, 0.500)
Cr (0.500, 0.500, 0.000)
Cu (0.500, 0.500, 0.500)

Results
Calculated density, g/cm³: 3.92
Energy above the lowest structure with this stoichiometry, eV per atom: 0.644
N(E_F), states/eV/f.u.: 4.20
E_tot, eV/atom: -5.740

---

Record 6
The following is a DFT calculation (PBE) of BeCrCu2 after structural relaxation.

Cell: 4.026 4.026 4.026 Å, 60.00 60.00 60.00°
Sites, in units of the cell vectors:
Be (0.000, 0.000, 0.000)
Cr (0.250, 0.250, 0.250)
Cu (0.500, 0.500, 0.500)
Cu (0.750, 0.750, 0.750)

Results
Calculated density, g/cm³: 6.77
N(E_F), states/eV/f.u.: 1.76
E_tot, eV/atom: -5.188

---

The following DFT formation energy values (in eV per atom) correspond, in order, to the records above: 0.53; 0.23; -0.03; 0.11; 1.60; 0.20.